Record 1
# Ca2TaHg, relaxed, DFT PBE-GGA
data_Ca2TaHg
_chemical_formula_sum 'Ca8 Ta4 Hg4'
_cell_length_a 8.4335
_cell_length_b 8.4335
_cell_length_c 6.1761
_cell_angle_alpha 90.00
_cell_angle_beta 90.00
_cell_angle_gamma 90.00
_space_group_name_H-M_alt 'I -4 2 d'
_space_group_IT_number 122
_space_group_name_Hall 'I -4 2bw'
loop_
_atom_site_label
_atom_site_fract_x
_atom_site_fract_y
_atom_site_fract_z
Ca1 0.2273 0.2500 0.1250
Ta1 0.0000 0.0000 0.5000
Hg1 0.0000 0.0000 0.0000
# * ΔH_f (0 K): 0.7386 eV per atom

***

Record 2
# Sr2PC, relaxed, DFT PBE-GGA
data_Sr2PC
_chemical_formula_sum 'Sr8 P4 C4'
_cell_length_a 7.5740
_cell_length_b 7.5740
_cell_length_c 7.4478
_cell_angle_alpha 90.00
_cell_angle_beta 90.00
_cell_angle_gamma 90.00
_space_group_name_H-M_alt 'I -4 2 d'
_space_group_IT_number 122
_space_group_name_Hall 'I -4 2bw'
loop_
_atom_site_label
_atom_site_fract_x
_atom_site_fract_y
_atom_site_fract_z
Sr1 0.2153 0.7500 0.1250
P1 0.0000 0.0000 0.5000
C1 0.0000 0.0000 0.0000
# * ΔH_f (0 K): 0.4695 eV per atom
# * energy relative to the lowest polymorph listed for this composition: 0.0915 eV per atom